The following is a PBE+U calculation of a relaxed structure of NiAg4F6, from the Alexandria database.

Results
DFT total energy   -3.544 eV per atom
Space group   P4/mnc (128)

POSCAR file:
```
NiAg4F6
1.0
-5.048 0.910 4.254
-4.109 -3.136 -4.206
1.567 -6.375 3.223
Ni Ag F
2 8 12
Direct
0.500 0.500 0.000 Ni
0.000 0.000 0.500 Ni
0.347 0.153 0.250 Ag
0.153 0.653 0.750 Ag
0.653 0.847 0.750 Ag
0.847 0.347 0.750 Ag
0.347 0.153 0.750 Ag
0.153 0.653 0.250 Ag
0.847 0.347 0.250 Ag
0.653 0.847 0.250 Ag
0.291 0.905 0.500 F
0.791 0.595 0.000 F
0.595 0.209 0.000 F
0.095 0.291 0.500 F
0.000 0.000 0.226 F
0.500 0.500 0.274 F
0.405 0.791 0.000 F
0.000 0.000 0.774 F
0.209 0.405 0.000 F
0.500 0.500 0.726 F
0.905 0.709 0.500 F
0.709 0.095 0.500 F
```



The following is a PBE+U calculation of a relaxed structure of Ni2AgF6, from the Alexandria database.

Results
DFT total energy   -3.886 eV per atom
Space group   P-3m1 (164)

POSCAR file:
```
Ni2AgF6
1.0
-0.160 4.240 -1.916
-9.224 -0.946 -1.325
3.229 3.721 7.966
Ni Ag F
6 3 18
Direct
0.000 0.000 0.339 Ni
0.000 0.661 0.661 Ni
0.000 0.339 0.000 Ni
0.000 0.000 0.661 Ni
0.000 0.339 0.339 Ni
0.000 0.661 0.000 Ni
0.505 0.667 0.333 Ag
0.495 0.333 0.667 Ag
0.000 0.000 0.000 Ag
0.231 0.904 0.452 F
0.231 0.548 0.096 F
0.231 0.548 0.452 F
0.769 0.452 0.548 F
0.769 0.452 0.904 F
0.769 0.096 0.548 F
0.773 0.430 0.215 F
0.773 0.785 0.570 F
0.773 0.785 0.215 F
0.780 0.758 0.879 F
0.780 0.121 0.242 F
0.780 0.121 0.879 F
0.220 0.879 0.121 F
0.220 0.879 0.758 F
0.220 0.242 0.121 F
0.227 0.570 0.785 F
0.227 0.215 0.430 F
0.227 0.215 0.785 F
```



The following is a PBE+U calculation of a relaxed structure of NiAg2F11, from the Alexandria database.

Results
DFT total energy   -2.941 eV per atom
Space group   Ibam (72)

POSCAR file:
```
NiAg2F11
1.0
7.664 0.000 3.995
3.576 6.786 2.488
0.685 -0.090 8.035
Ni Ag F
2 4 22
Direct
0.750 0.750 0.750 Ni
0.250 0.250 0.250 Ni
0.711 0.678 0.322 Ag
0.289 0.322 0.678 Ag
0.789 0.178 0.822 Ag
0.211 0.822 0.178 Ag
0.685 0.700 0.576 F
0.315 0.300 0.424 F
0.039 0.576 0.700 F
0.815 0.924 0.800 F
0.961 0.424 0.300 F
0.185 0.076 0.200 F
0.461 0.800 0.924 F
0.539 0.200 0.076 F
0.500 0.500 0.500 F
0.000 0.000 0.000 F
0.860 0.853 0.147 F
0.140 0.147 0.853 F
0.640 0.353 0.647 F
0.360 0.647 0.353 F
0.454 0.915 0.366 F
0.546 0.085 0.634 F
0.264 0.366 0.915 F
0.046 0.134 0.585 F
0.736 0.634 0.085 F
0.954 0.866 0.415 F
0.236 0.585 0.134 F
0.764 0.415 0.866 F
```



The following is a PBE+U calculation of a relaxed structure of Ni2AgF6, from the Alexandria database.

Results
DFT total energy   -3.913 eV per atom
Space group   P4_2/mnm (136)

POSCAR file:
```
Ni2AgF6
1.0
-3.306 -3.284 -1.162
2.517 -3.360 2.333
-4.973 2.058 8.329
Ni Ag F
4 2 12
Direct
0.500 0.500 0.331 Ni
0.500 0.500 0.669 Ni
0.000 0.000 0.169 Ni
0.000 0.000 0.831 Ni
0.500 0.500 0.000 Ag
0.000 0.000 0.500 Ag
0.705 0.705 0.182 F
0.705 0.705 0.818 F
0.682 0.682 0.500 F
0.818 0.182 0.000 F
0.795 0.205 0.318 F
0.795 0.205 0.682 F
0.205 0.795 0.318 F
0.205 0.795 0.682 F
0.182 0.818 0.000 F
0.318 0.318 0.500 F
0.295 0.295 0.182 F
0.295 0.295 0.818 F
```



The following is a PBE+U calculation of a relaxed structure of NiAg2PbF6, from the Alexandria database.

Results
DFT total energy   -4.064 eV per atom
Space group   P2_1/c (14)

POSCAR file:
```
NiAg2PbF6
1.0
5.897 0.000 -0.076
0.000 6.073 0.000
-0.056 0.000 8.512
Ni Ag Pb F
2 4 2 12
Direct
0.500 0.000 0.500 Ni
0.000 0.500 0.000 Ni
0.021 0.933 0.249 Ag
0.521 0.567 0.749 Ag
0.979 0.067 0.751 Ag
0.479 0.433 0.251 Ag
0.500 0.000 0.000 Pb
0.000 0.500 0.500 Pb
0.277 0.675 0.067 F
0.777 0.825 0.567 F
0.723 0.325 0.933 F
0.223 0.175 0.433 F
0.337 0.719 0.430 F
0.837 0.781 0.930 F
0.663 0.281 0.570 F
0.163 0.219 0.070 F
0.873 0.552 0.221 F
0.373 0.948 0.721 F
0.127 0.448 0.779 F
0.627 0.052 0.279 F
```



The following is a PBE+U calculation of a relaxed structure of NiAg2PbF8, from the Alexandria database.

Results
DFT total energy   -3.824 eV per atom
Space group   I-4m2 (119)

POSCAR file:
```
NiAg2PbF8
1.0
6.200 1.017 0.000
-1.838 6.008 0.000
-2.181 -3.513 4.731
Ni Ag Pb F
1 2 1 8
Direct
0.250 0.750 0.500 Ni
0.750 0.250 0.500 Ag
0.500 0.500 0.000 Ag
0.000 0.000 0.000 Pb
0.344 0.032 0.312 F
0.259 0.458 0.199 F
0.259 0.060 0.801 F
0.721 0.032 0.688 F
0.940 0.741 0.199 F
0.968 0.279 0.312 F
0.968 0.656 0.688 F
0.542 0.741 0.801 F
```



The following is a PBE+U calculation of a relaxed structure of NiAgPbF6, from the Alexandria database.

Results
DFT total energy   -4.104 eV per atom
Space group   P-31c (163)

POSCAR file:
```
NiAgPbF6
1.0
5.805 0.000 0.000
-2.903 5.027 0.000
0.000 0.000 9.421
Ni Ag Pb F
2 2 2 12
Direct
0.333 0.667 0.250 Ni
0.667 0.333 0.750 Ni
0.000 0.000 0.000 Ag
0.000 0.000 0.500 Ag
0.667 0.333 0.250 Pb
0.333 0.667 0.750 Pb
0.629 0.667 0.133 F
0.038 0.371 0.133 F
0.371 0.038 0.633 F
0.962 0.629 0.867 F
0.333 0.371 0.367 F
0.038 0.667 0.367 F
0.667 0.038 0.867 F
0.629 0.962 0.367 F
0.962 0.333 0.633 F
0.333 0.962 0.133 F
0.667 0.629 0.633 F
0.371 0.333 0.867 F
```



The following is a PBE+U calculation of a relaxed structure of NiAg2PdF6, from the Alexandria database.

Results
DFT total energy   -3.853 eV per atom
Space group   P-1 (2)

POSCAR file:
```
NiAg2PdF6
1.0
6.065 1.112 0.304
1.057 6.628 0.262
0.492 0.353 7.384
Ni Ag Pd F
2 4 2 12
Direct
0.500 0.000 0.500 Ni
0.000 0.500 0.000 Ni
0.074 0.902 0.253 Ag
0.507 0.544 0.734 Ag
0.926 0.098 0.747 Ag
0.493 0.456 0.266 Ag
0.500 0.000 0.000 Pd
0.000 0.500 0.500 Pd
0.245 0.614 0.042 F
0.836 0.810 0.535 F
0.755 0.386 0.958 F
0.164 0.190 0.465 F
0.389 0.766 0.461 F
0.818 0.808 0.929 F
0.611 0.234 0.539 F
0.182 0.192 0.071 F
0.861 0.535 0.264 F
0.384 0.957 0.769 F
0.139 0.465 0.736 F
0.616 0.043 0.231 F
```



The following is a PBE+U calculation of a relaxed structure of NiAgPdF6, from the Alexandria database.

Results
DFT total energy   -3.889 eV per atom
Space group   P4_2nm (102)

POSCAR file:
```
NiAgPdF6
1.0
-3.546 -2.465 -2.448
-0.460 -3.134 3.822
-6.995 6.006 4.083
Ni Ag Pd F
2 2 2 12
Direct
0.500 0.500 0.167 Ni
0.000 0.000 0.667 Ni
0.500 0.500 0.500 Ag
0.000 0.000 0.000 Ag
0.500 0.500 0.830 Pd
0.000 0.000 0.330 Pd
0.181 0.819 0.504 F
0.819 0.181 0.504 F
0.319 0.319 0.004 F
0.681 0.681 0.004 F
0.215 0.785 0.178 F
0.785 0.215 0.178 F
0.285 0.285 0.678 F
0.715 0.715 0.678 F
0.793 0.207 0.820 F
0.207 0.793 0.820 F
0.707 0.707 0.320 F
0.293 0.293 0.320 F
```



The following is a PBE+U calculation of a relaxed structure of PmNiAgF6, from the Alexandria database.

Results
DFT total energy   -5.087 eV per atom
Space group   P4_2nm (102)

POSCAR file:
```
PmNiAgF6
1.0
-0.645 -2.473 -4.578
2.160 -4.324 2.032
-9.353 -3.233 3.063
Pm Ni Ag F
2 2 2 12
Direct
0.500 0.500 0.171 Pm
0.000 0.000 0.671 Pm
0.500 0.500 0.833 Ni
0.000 0.000 0.333 Ni
0.500 0.500 0.498 Ag
0.000 0.000 0.998 Ag
0.176 0.824 0.487 F
0.824 0.176 0.487 F
0.324 0.324 0.987 F
0.676 0.676 0.987 F
0.195 0.805 0.194 F
0.805 0.195 0.194 F
0.305 0.305 0.694 F
0.695 0.695 0.694 F
0.772 0.228 0.818 F
0.228 0.772 0.818 F
0.728 0.728 0.318 F
0.272 0.272 0.318 F
```



The following is a PBE+U calculation of a relaxed structure of Rb2NiAgF6, from the Alexandria database.

Results
DFT total energy   -4.003 eV per atom
Space group   I4/mmm (139)

POSCAR file:
```
Rb2NiAgF6
1.0
-5.538 -0.088 -2.234
-1.774 -3.461 4.533
-4.670 1.851 3.520
Ni Rb Ag F
1 2 1 6
Direct
0.500 0.500 0.000 Ni
0.750 0.250 0.500 Rb
0.250 0.750 0.500 Rb
0.000 0.000 0.000 Ag
0.278 0.278 0.443 F
0.722 0.722 0.557 F
0.259 0.259 0.000 F
0.741 0.741 0.000 F
0.741 0.259 0.000 F
0.259 0.741 0.000 F
```



The following is a PBE+U calculation of a relaxed structure of Rb3Ni2AgF9, from the Alexandria database.

Results
DFT total energy   -4.087 eV per atom
Space group   P-3m1 (164)

POSCAR file:
```
Rb3Ni2AgF9
1.0
5.973 0.000 0.000
-2.987 5.173 0.000
0.000 0.000 7.347
Rb Ni Ag F
3 2 1 9
Direct
0.333 0.667 0.665 Rb
0.000 0.000 0.000 Rb
0.667 0.333 0.335 Rb
0.333 0.667 0.156 Ni
0.667 0.333 0.844 Ni
0.000 0.000 0.500 Ag
0.823 0.177 0.682 F
0.823 0.646 0.682 F
0.354 0.177 0.682 F
0.646 0.823 0.318 F
0.177 0.354 0.318 F
0.177 0.823 0.318 F
0.500 0.000 0.000 F
0.000 0.500 0.000 F
0.500 0.500 0.000 F
```



- Which of these has the lowest DFT total energy?
  PmNiAgF6